Record 1
Compound: ThSc2Hg
Source: Alexandria via LeMat-Bulk
Functional: GGA-PBE
Structure: optimized geometry

abc: 3.4900 3.4900 8.1079
angles: 90.00 90.00 90.00
Closest atoms and distances in Å follow each position.
Space group P4/mmm (No. 123)
Symmetry-distinct sites (fractional):
Th (0.0000, 0.0000, 0.0000)  8 Sc 3.34, 4 Th 3.49
Sc (0.5000, 0.5000, 0.2777)  4 Hg 3.06, 4 Th 3.34
Hg (0.0000, 0.0000, 0.5000)  8 Sc 3.06

Results
The calculation puts the energy above the most stable polymorph in this dataset at 0 meV per atom. The calculated formation energy comes out at -0.24 eV/atom.

***

Record 2
Compound: PrAsH
Source: Alexandria via LeMat-Bulk
Functional: GGA-PBE
Structure: optimized geometry

abc: 4.1493 4.1493 7.3163
angles: 90.00 90.00 90.00
Closest atoms and distances in Å follow each position.
Space group I4mm (No. 107)
Symmetry-distinct sites (fractional):
Pr (0.0000, 0.0000, 0.0000)  1 H 2.58
As (0.0000, 0.0000, 0.5953)  1 H 1.78
H (0.0000, 0.0000, 0.3520)  1 As 1.78

Results
The calculation puts the energy above the most stable polymorph in this dataset at 355 meV per atom.

***

Record 3
Compound: YCuC
Source: Alexandria via LeMat-Bulk
Functional: GGA-PBE
Structure: optimized geometry

abc: 3.6857 3.6857 7.6662
angles: 90.00 90.00 120.00
Closest atoms and distances in Å follow each position.
Space group P3m1 (No. 156)
Symmetry-distinct sites (fractional):
Y (0.0000, 0.0000, 0.0000)  3 C 2.48
Y (0.3333, 0.6667, 0.6493)  3 C 2.55
Cu (0.3333, 0.6667, 0.2660)  3 Cu 2.29, 3 C 2.35
Cu (0.6667, 0.3333, 0.3770)  3 C 2.13, 3 Cu 2.29
C (0.0000, 0.0000, 0.3951)  6 Cu 2.13-2.35
C (0.6667, 0.3333, 0.8331)  6 Y 2.48-2.55

Results
The calculated formation energy comes out at 0.14 eV/atom.

***

Record 4
Compound: CdGa2BiSb
Source: Alexandria via LeMat-Bulk
Functional: GGA-PBE
Structure: optimized geometry

abc: 5.3050 5.3050 5.5013
angles: 90.00 90.00 90.00
Closest atoms and distances in Å follow each position.
Space group P4/mmm (No. 123)
Symmetry-distinct sites (fractional):
Cd (0.0000, 0.0000, 0.0000)  2 Sb 2.75
Ga (0.0000, 0.5000, 0.5000)  2 Sb 2.65
Bi (0.5000, 0.5000, 0.0000)  4 Cd 3.75, 8 Ga 3.82
Sb (0.0000, 0.0000, 0.5000)  4 Ga 2.65, 2 Cd 2.75

Results
Its raw formation energy is 0.46 eV per atom.

***

Record 5
Compound: Tb2Sm6YHo
Source: Alexandria via LeMat-Bulk
Functional: GGA-PBE
Structure: optimized geometry

abc: 9.1463 15.2885 9.6449
angles: 90.00 97.57 90.00
Closest atoms and distances in Å follow each position.
Space group C2/c (No. 15)
Symmetry-distinct sites (fractional):
Tb (0.2492, 0.0521, 0.4561)  5 Sm 3.27-3.49, 2 Y 3.43, 1 Ho 3.56
Sm (0.0600, 0.3168, 0.9454)  7 Sm 3.43-3.78, 1 Tb 3.49, 1 Y 3.69
Sm (0.1036, 0.1067, 0.1195)  4 Sm 3.26-3.62, 3 Tb 3.27-3.45, 2 Ho 3.45-3.57
Sm (0.2078, 0.2762, 0.3130)  3 Sm 3.26-3.65, 1 Tb 3.43, 1 Ho 3.48, 1 Y 3.61
Y (0.0000, 0.4760, 0.2500)  4 Tb 3.43, 4 Sm 3.61-3.69
Ho (0.0000, 0.0903, 0.7500)  6 Sm 3.45-3.57, 2 Tb 3.56

Results
The calculated formation energy comes out at 0.12 eV/atom.

***

Record 6
Compound: BaScAg
Source: Alexandria via LeMat-Bulk
Functional: GGA-PBE
Structure: optimized geometry

abc: 3.7475 3.7475 13.2171
angles: 90.00 90.00 90.00
Closest atoms and distances in Å follow each position.
Space group I4mm (No. 107)
Symmetry-distinct sites (fractional):
Ba (0.0000, 0.0000, 0.0000)  4 Ag 3.63, 5 Sc 3.63-3.99, 4 Ba 3.75
Sc (0.0000, 0.0000, 0.7253)  4 Ag 2.89
Ag (0.0000, 0.0000, 0.3127)  4 Sc 2.89

Results
The calculation puts the energy above the most stable polymorph in this dataset at 86 meV per atom. The calculated formation energy comes out at 0.00 eV/atom.

***

Record 7
Compound: La3SmHo8
Source: Alexandria via LeMat-Bulk
Functional: GGA-PBE
Structure: optimized geometry

abc: 8.8083 8.8083 11.2916
angles: 90.00 90.00 90.00
Closest atoms and distances in Å follow each position.
Space group I-42m (No. 121)
Symmetry-distinct sites (fractional):
La (0.0000, 0.0000, 0.0000)  8 Ho 3.16-3.25
La (0.0000, 0.5000, 0.2500)  4 Ho 3.49
Sm (0.0000, 0.0000, 0.5000)  8 Ho 3.07-3.18
Ho (0.1240, 0.1240, 0.7466)  3 Ho 3.09-3.25, 1 Sm 3.18, 1 La 3.25
Ho (0.2465, 0.2465, 0.4927)  1 Sm 3.07, 1 La 3.16, 2 Ho 3.21-3.25

Results
The calculated formation energy comes out at 0.61 eV/atom.

***

Record 8
Compound: RbTl2CdIr
Source: Alexandria via LeMat-Bulk
Functional: GGA-PBE
Structure: optimized geometry

abc: 5.3317 5.3317 5.4291
angles: 90.00 90.00 90.00
Closest atoms and distances in Å follow each position.
Space group P4/mmm (No. 123)
Symmetry-distinct sites (fractional):
Rb (0.0000, 0.0000, 0.0000)  4 Cd 3.77, 8 Tl 3.80
Tl (0.0000, 0.5000, 0.5000)  2 Ir 2.67
Cd (0.5000, 0.5000, 0.0000)  2 Ir 2.71
Ir (0.5000, 0.5000, 0.5000)  4 Tl 2.67, 2 Cd 2.71

Results
The calculated formation energy comes out at -0.04 eV/atom.

***

Record 9
Compound: AlGa2H
Source: Alexandria via LeMat-Bulk
Functional: GGA-PBE
Structure: optimized geometry

abc: 6.2390 6.2390 6.2390
angles: 90.00 90.00 90.00
Closest atoms and distances in Å follow each position.
Space group Fm-3m (No. 225)
Symmetry-distinct sites (fractional):
Al (0.0000, 0.0000, 0.0000)  8 Ga 2.70
Ga (0.2500, 0.2500, 0.2500)  4 H 2.70, 4 Al 2.70
H (0.0000, 0.0000, 0.5000)  8 Ga 2.70

Results
The calculation puts the energy above the most stable polymorph in this dataset at 89 meV per atom.

***

Record 10
Compound: MgCrTe2
Source: Alexandria via LeMat-Bulk
Functional: GGA-PBE
Structure: optimized geometry

abc: 6.3767 6.3767 12.8345
angles: 90.00 90.00 90.00
Closest atoms and distances in Å follow each position.
Space group I-42d (No. 122)
Symmetry-distinct sites (fractional):
Mg (0.0000, 0.0000, 0.0000)  4 Te 2.83
Cr (0.0000, 0.0000, 0.5000)  4 Te 2.71
Te (0.2343, 0.2500, 0.6250)  2 Cr 2.71, 2 Mg 2.83

Results
Its raw formation energy is -0.31 eV per atom.

***

Record 11
Compound: Er2IrN
Source: Alexandria via LeMat-Bulk
Functional: GGA-PBE
Structure: optimized geometry

abc: 3.3812 3.3812 21.0983
angles: 90.00 90.00 120.00
Closest atoms and distances in Å follow each position.
Space group R-3m (No. 166, hexagonal axes)
Symmetry-distinct sites (fractional):
Er (0.0000, 0.0000, 0.2331)  3 N 2.40
Ir (0.0000, 0.0000, 0.0000)  6 Er 2.88
N (0.0000, 0.0000, 0.5000)  6 Er 2.40

Results
Its raw formation energy is -1.01 eV per atom.

***

Record 12
Compound: MnCdSi2
Source: Alexandria via LeMat-Bulk
Functional: GGA-PBE
Structure: optimized geometry

abc: 4.9377 4.9377 2.7656
angles: 90.00 90.00 90.00
Closest atoms and distances in Å follow each position.
Space group P4/mmm (No. 123)
Symmetry-distinct sites (fractional):
Mn (0.0000, 0.0000, 0.0000)  2 Mn 2.77, 8 Si 2.83
Cd (0.5000, 0.5000, 0.0000)  2 Cd 2.77, 8 Si 2.83
Si (0.0000, 0.5000, 0.5000)  2 Si 2.77, 4 Cd 2.83, 4 Mn 2.83

Results
Its raw formation energy is 0.44 eV per atom.

***

Record 13
Compound: La2CoSiAu
Source: Alexandria via LeMat-Bulk
Functional: GGA-PBE
Structure: optimized geometry

abc: 5.3672 5.3672 4.3035
angles: 90.00 90.00 90.00
Closest atoms and distances in Å follow each position.
Space group P4/mmm (No. 123)
Symmetry-distinct sites (fractional):
La (0.0000, 0.5000, 0.0000)  2 Co 2.68
Co (0.0000, 0.0000, 0.0000)  2 Si 2.15
Si (0.0000, 0.0000, 0.5000)  2 Co 2.15
Au (0.5000, 0.5000, 0.5000)  8 La 3.44, 4 Si 3.80

Results
Its raw formation energy is -0.52 eV per atom.

***

Record 14
Compound: LiZr2Be
Source: Alexandria via LeMat-Bulk
Functional: GGA-PBE
Structure: optimized geometry

abc: 3.1730 3.1730 27.6074
angles: 90.00 90.00 120.00
Closest atoms and distances in Å follow each position.
Space group R-3m (No. 166, hexagonal axes)
Symmetry-distinct sites (fractional):
Li (0.0000, 0.0000, 0.0000)  6 Li 3.17, 6 Zr 3.32
Zr (0.0000, 0.0000, 0.2329)  3 Be 2.59
Be (0.0000, 0.0000, 0.5000)  6 Zr 2.59

Results
The calculated formation energy comes out at 0.27 eV/atom.

***

Record 15
Compound: LiV2Zn2
Source: Alexandria via LeMat-Bulk
Functional: GGA-PBE
Structure: optimized geometry

abc: 7.7422 7.7422 2.5909
angles: 90.00 90.00 90.00
Closest atoms and distances in Å follow each position.
Space group P4/mbm (No. 127)
Symmetry-distinct sites (fractional):
Li (0.0000, 0.0000, 0.0000)  2 Li 2.59
V (0.1043, 0.3957, 0.0000)  1 V 2.28
Zn (0.1890, 0.6890, 0.5000)  2 Zn 2.59, 6 V 2.61-2.70

Results
The calculation puts the energy above the most stable polymorph in this dataset at 0 meV per atom. The calculated formation energy comes out at 0.19 eV/atom.

***

Record 16
Compound: K2POsO
Source: Alexandria via LeMat-Bulk
Functional: GGA-PBE
Structure: optimized geometry

abc: 6.2397 6.2397 4.3880
angles: 90.00 90.00 90.00
Closest atoms and distances in Å follow each position.
Space group P4/mmm (No. 123)
Symmetry-distinct sites (fractional):
K (0.0000, 0.5000, 0.0000)  2 P 3.12
P (0.0000, 0.0000, 0.0000)  2 Os 2.19
Os (0.0000, 0.0000, 0.5000)  2 P 2.19
O (0.5000, 0.5000, 0.5000)  8 K 3.81

Results
Its raw formation energy is 0.56 eV per atom.

***

Record 17
Compound: SrHg2Ir
Source: Alexandria via LeMat-Bulk
Functional: GGA-PBE
Structure: optimized geometry

abc: 7.1605 7.1605 7.1605
angles: 90.00 90.00 90.00
Closest atoms and distances in Å follow each position.
Space group Fm-3m (No. 225)
Symmetry-distinct sites (fractional):
Sr (0.0000, 0.0000, 0.0000)  8 Hg 3.10
Hg (0.2500, 0.2500, 0.2500)  4 Ir 3.10, 4 Sr 3.10
Ir (0.0000, 0.0000, 0.5000)  8 Hg 3.10

Results
The calculated formation energy comes out at 0.05 eV/atom.

***

Record 18
Compound: LaRhSe2
Source: Alexandria via LeMat-Bulk
Functional: GGA-PBE
Structure: optimized geometry

abc: 5.8174 5.8174 5.5666
angles: 90.00 90.00 90.00
Closest atoms and distances in Å follow each position.
Space group I4/mmm (No. 139)
Symmetry-distinct sites (fractional):
La (0.0000, 0.0000, 0.0000)  2 Rh 2.78, 4 Se 2.91
Rh (0.0000, 0.0000, 0.5000)  2 La 2.78, 4 Se 2.91
Se (0.0000, 0.5000, 0.0000)  2 Se 2.78, 2 Rh 2.91, 2 La 2.91

Results
Its raw formation energy is -0.78 eV per atom. The calculation puts the energy above the most stable polymorph in this dataset at 355 meV per atom.

***

Record 19
Compound: PrHg2Pb
Source: Alexandria via LeMat-Bulk
Functional: GGA-PBE
Structure: optimized geometry

abc: 3.8614 3.8614 7.5009
angles: 90.00 90.00 90.00
Closest atoms and distances in Å follow each position.
Space group P4/mmm (No. 123)
Symmetry-distinct sites (fractional):
Pr (0.0000, 0.0000, 0.0000)  8 Hg 3.32
Hg (0.5000, 0.5000, 0.2510)  4 Pb 3.31, 4 Pr 3.32
Pb (0.0000, 0.0000, 0.5000)  8 Hg 3.31

Results
The calculated formation energy comes out at -0.31 eV/atom.

***

Record 20
Compound: Pm12Au3N5
Source: Alexandria via LeMat-Bulk
Functional: GGA-PBE
Structure: optimized geometry

abc: 15.8859 15.8859 15.8859
angles: 90.00 90.00 90.00
Closest atoms and distances in Å follow each position.
Space group Ia-3d (No. 230)
Symmetry-distinct sites (fractional):
Pm (0.0349, 0.0522, 0.6489)  2 N 2.31-2.57
Au (0.0000, 0.2500, 0.1250)  8 Pm 3.12-3.21
N (0.0000, 0.0000, 0.0000)  6 Pm 2.57
N (0.0000, 0.2500, 0.3750)  4 Pm 2.31

Results
Its raw formation energy is -0.84 eV per atom.

***

Record 21
Compound: Pm2ErIn
Source: Alexandria via LeMat-Bulk
Functional: GGA-PBE
Structure: optimized geometry

abc: 3.6109 3.6109 9.4650
angles: 90.00 90.00 90.00
Closest atoms and distances in Å follow each position.
Space group P4/mmm (No. 123)
Symmetry-distinct sites (fractional):
Pm (0.0000, 0.0000, 0.2291)  4 In 3.35, 4 Pm 3.61, 4 Er 3.62
Er (0.5000, 0.5000, 0.5000)  4 Er 3.61, 8 Pm 3.62
In (0.5000, 0.5000, 0.0000)  8 Pm 3.35, 4 In 3.61

Results
The calculation puts the energy above the most stable polymorph in this dataset at 64 meV per atom. The calculated formation energy comes out at -0.21 eV/atom.

***

Record 22
Compound: PaCdIn
Source: Alexandria via LeMat-Bulk
Functional: GGA-PBE
Structure: optimized geometry

abc: 3.1948 3.1948 51.5335
angles: 90.00 90.00 120.00
Closest atoms and distances in Å follow each position.
Space group R-3m (No. 166, hexagonal axes)
Symmetry-distinct sites (fractional):
Pa (0.0000, 0.0000, 0.1940)  9 Pa 3.19-3.36, 1 In 3.26
Cd (0.0000, 0.0000, 0.3579)  9 Cd 3.13-3.19, 3 In 3.24
In (0.0000, 0.0000, 0.2572)  6 In 3.19, 3 Cd 3.24, 1 Pa 3.26

Results
The calculation puts the energy above the most stable polymorph in this dataset at 137 meV per atom. The calculated formation energy comes out at 0.16 eV/atom.

***

Record 23
Compound: Cd3GaS2F6
Source: Alexandria via LeMat-Bulk
Functional: GGA-PBE
Structure: optimized geometry

abc: 12.2906 6.7432 4.9084
angles: 90.00 92.64 90.00
Closest atoms and distances in Å follow each position.
Space group C2/m (No. 12)
Symmetry-distinct sites (fractional):
Cd (0.0000, 0.0000, 0.0000)  4 F 2.48, 2 S 2.50
Cd (0.2500, 0.2500, 0.5000)  4 F 2.42-2.51, 2 S 2.47
Ga (0.0000, 0.5000, 0.5000)  6 F 1.92-1.96
S (0.1881, 0.0000, 0.8265)  3 Cd 2.47-2.50
F (0.0619, 0.2860, 0.2851)  1 Ga 1.96
F (0.1374, 0.5000, 0.7032)  1 Ga 1.92

Results
Its raw formation energy is -1.68 eV per atom.